Record 1
The following is a PBE calculation of crystalline Tc2RhSe at its relaxed geometry, from Alexandria.

Calculated values
Formation energy from raw total energies, eV per atom: 0.373
Final energy, eV per cell: -60.155

Cell lengths 5.1498, 8.0552, 2.9251 Å; angles 90.00, 94.45, 90.00 degrees
Closest atoms and distances in Å follow each position.
Space group C2/m (No. 12)
Unique sites:
Tc 0.2500 0.2500 0.0000 [4 per cell]  2 Tc 2.57, 4 Se 2.75-2.85, 4 Rh 2.75-2.85
Rh 0.0000 0.0000 0.5000 [2 per cell]  2 Se 2.57, 8 Tc 2.75-2.85
Se 0.0000 0.5000 0.5000 [2 per cell]  2 Rh 2.57, 8 Tc 2.75-2.85



Record 2
The following is a PBE calculation of crystalline Mn22ZnC6 at its relaxed geometry, from Alexandria.

Calculated values
DFT formation energy, eV/atom: -0.078
Final energy, eV per cell: -1042.381

Cell lengths 10.4106, 10.4106, 10.4106 Å; angles 90.00, 90.00, 90.00 degrees
Closest atoms and distances in Å follow each position.
Space group Fm-3m (No. 225)
Unique sites:
Mn 0.0000 0.1710 0.1710 [48 per cell]  2 C 2.10, 1 Mn 2.33
Mn 0.1176 0.1176 0.3824 [32 per cell]  3 C 2.05
Mn 0.2500 0.2500 0.2500 [8 per cell]  4 Mn 2.39
Zn 0.0000 0.0000 0.0000 [4 per cell]  12 Mn 2.52
C 0.0000 0.0000 0.2776 [24 per cell]  8 Mn 2.05-2.10



Going through the records in order, we get DOS at the Fermi energy values of 1.335; 0.931 states/eV per atom.